(1)
VASP calculation (PBE) on crystalline RbHAu at its relaxed geometry.

Output
Total magnetic moment (μB per formula unit): 0.0
Crystal system: monoclinic
Raw total energy (eV for the cell shown): -16.6
Distance to the lowest polymorph of the same formula (meV/atom): 0.0
Space group: No. 10

Cell: 4.089 5.986 6.253 Å, 88.66 89.97 90.01°
Fractional coordinates of all 6 atoms:
H: 0.812 0.617 0.756
H: 0.811 0.316 0.037
Au: 0.812 0.812 0.553
Au: 0.812 0.121 0.240
Rb: 0.312 0.260 0.684
Rb: 0.312 0.672 0.109

(2)
VASP calculation (PBE) on crystalline LaPmPr2Y at its relaxed geometry.

Output
Total magnetic moment (μB per formula unit): 0.0
Crystal system: monoclinic
Raw total energy (eV for the cell shown): -48.9
Space group: No. 13

Cell: 6.695 8.504 6.382 Å, 94.61 90.00 90.00°
Fractional coordinates of all 10 atoms:
Pr: 0.689 0.690 0.777
Pr: 0.311 0.690 0.277
Pr: 0.311 0.310 0.223
Pr: 0.689 0.310 0.723
La: 0.000 0.000 0.000
La: 0.000 0.000 0.500
Y: 0.164 0.500 0.750
Y: 0.836 0.500 0.250
Pm: 0.431 0.000 0.750
Pm: 0.569 0.000 0.250

(3)
VASP calculation (PBE) on crystalline SnHg at its relaxed geometry.

Output
Total magnetic moment (μB per formula unit): 0.0
Crystal system: tetragonal
Raw total energy (eV for the cell shown): -32.6
Space group: No. 87

Cell: 12.539 12.539 3.176 Å, 90.00 90.00 90.00°
Fractional coordinates of all 16 atoms:
Hg: 0.829 0.006 0.500
Hg: 0.994 0.829 0.500
Hg: 0.006 0.171 0.500
Hg: 0.329 0.506 0.000
Hg: 0.506 0.671 0.000
Hg: 0.171 0.994 0.500
Hg: 0.671 0.494 0.000
Hg: 0.494 0.329 0.000
Sn: 0.327 0.175 0.500
Sn: 0.325 0.827 0.000
Sn: 0.827 0.675 0.000
Sn: 0.673 0.825 0.500
Sn: 0.825 0.327 0.500
Sn: 0.173 0.325 0.000
Sn: 0.175 0.673 0.500
Sn: 0.675 0.173 0.000

(4)
VASP calculation (PBE) on crystalline Pa12Tc6Ni at its relaxed geometry.

Output
Total magnetic moment (μB per formula unit): 0.0
Crystal system: trigonal
Raw total energy (eV for the cell shown): -180.6
Space group: No. 148

Cell: 7.738 7.738 7.738 Å, 96.66 96.66 96.66°
Fractional coordinates of all 19 atoms:
Tc: 0.657 0.868 0.348
Tc: 0.652 0.343 0.132
Tc: 0.343 0.132 0.652
Tc: 0.132 0.652 0.343
Tc: 0.348 0.657 0.868
Tc: 0.868 0.348 0.657
Pa: 0.661 0.941 0.000
Pa: 0.812 0.594 0.450
Pa: 0.941 0.000 0.661
Pa: 0.000 0.661 0.941
Pa: 0.450 0.812 0.594
Pa: 0.059 0.000 0.339
Pa: 0.339 0.059 0.000
Pa: 0.000 0.339 0.059
Pa: 0.594 0.450 0.812
Pa: 0.406 0.550 0.188
Pa: 0.550 0.188 0.406
Pa: 0.188 0.406 0.550
Ni: 0.000 0.000 0.000

(5)
VASP calculation (PBE) on crystalline PdRhO2 at its relaxed geometry.

Output
Total magnetic moment (μB per formula unit): 0.0
Crystal system: cubic
Uncorrected formation energy (eV per atom): 0.390
Raw total energy (eV for the cell shown): -20.9
Space group: No. 225

Cell: 3.945 3.945 3.945 Å, 60.00 60.00 60.00°
Fractional coordinates of all 4 atoms:
Rh: 0.000 0.000 0.000
O: 0.750 0.750 0.750
O: 0.250 0.250 0.250
Pd: 0.500 0.500 0.500

(6)
VASP calculation (PBE) on crystalline KCuP at its relaxed geometry.

Output
Total magnetic moment (μB per formula unit): 0.0
Crystal system: hexagonal
Raw total energy (eV for the cell shown): -22.7
Space group: No. 194

Cell: 3.915 3.914 10.452 Å, 90.00 90.00 120.01°
Fractional coordinates of all 6 atoms:
Cu: 0.667 0.334 0.750
Cu: 0.333 0.666 0.250
K: 0.000 0.000 0.000
K: 0.000 0.000 0.500
P: 0.333 0.667 0.750
P: 0.667 0.333 0.250

(7)
VASP calculation (PBE) on crystalline RuPbAu2 at its relaxed geometry.

Output
Total magnetic moment (μB per formula unit): 0.1
Crystal system: trigonal
Raw total energy (eV for the cell shown): -17.8
Space group: No. 160

Cell: 9.326 9.326 9.326 Å, 19.30 19.30 19.30°
Last column: magnetic moment on the atom in μB.
Fractional coordinates of all 4 atoms:
Au: 0.745 0.745 0.745  0.00
Au: 0.997 0.997 0.997  0.01
Pb: 0.506 0.506 0.506  0.00
Ru: 0.253 0.253 0.253  0.08

(8)
VASP calculation (PBE) on crystalline Li2PmPr2Tl2 at its relaxed geometry.

Output
Total magnetic moment (μB per formula unit): 0.0
Crystal system: trigonal
Raw total energy (eV for the cell shown): -24.3
Space group: No. 166

Cell: 4.942 4.942 9.558 Å, 75.02 75.02 60.00°
Fractional coordinates of all 7 atoms:
Pm: 0.000 0.000 0.000
Pr: 0.127 0.127 0.619
Pr: 0.873 0.873 0.381
Tl: 0.735 0.735 0.796
Tl: 0.265 0.265 0.204
Li: 0.607 0.607 0.179
Li: 0.393 0.393 0.821

(9)
VASP calculation (PBE) on crystalline NaTlHgAu at its relaxed geometry.

Output
Total magnetic moment (μB per formula unit): 0.0
Crystal system: cubic
Raw total energy (eV for the cell shown): -8.0
Distance to the lowest polymorph of the same formula (meV/atom): 0.0
Space group: No. 216

Cell: 5.174 5.174 5.174 Å, 60.00 60.00 60.00°
Fractional coordinates of all 4 atoms:
Hg: 0.750 0.750 0.750
Tl: 0.000 0.000 0.000
Au: 0.250 0.250 0.250
Na: 0.500 0.500 0.500

(10)
VASP calculation (PBE) on crystalline Y3ErSb3 at its relaxed geometry.

Output
Total magnetic moment (μB per formula unit): 0.0
Crystal system: trigonal
Uncorrected formation energy (eV per atom): -0.924
Raw total energy (eV for the cell shown): -85.6
Distance to the lowest polymorph of the same formula (meV/atom): 84.5
Space group: No. 148

Cell: 8.940 8.940 8.024 Å, 56.15 56.15 60.00°
Fractional coordinates of all 14 atoms:
Er: 0.334 0.334 0.999
Er: 0.666 0.666 0.001
Sb: 0.696 0.471 0.756
Sb: 0.471 0.077 0.756
Sb: 0.077 0.696 0.756
Sb: 0.923 0.304 0.244
Sb: 0.304 0.529 0.244
Sb: 0.529 0.923 0.244
Y: 0.088 0.344 0.746
Y: 0.344 0.822 0.746
Y: 0.912 0.656 0.254
Y: 0.822 0.088 0.746
Y: 0.656 0.178 0.254
Y: 0.178 0.912 0.254

(11)
VASP calculation (PBE) on crystalline DyPu2Cd at its relaxed geometry.

Output
Total magnetic moment (μB per formula unit): 13.0
Crystal system: tetragonal
Raw total energy (eV for the cell shown): -33.6
Distance to the lowest polymorph of the same formula (meV/atom): 114.4
Space group: No. 123

Cell: 4.135 4.135 6.517 Å, 90.00 90.00 90.00°
Last column: magnetic moment on the atom in μB.
Fractional coordinates of all 4 atoms:
Cd: 0.500 0.500 0.000  0.06
Dy: 0.500 0.500 0.500  0.48
Pu: 0.000 0.000 0.234  5.69
Pu: 0.000 0.000 0.766  5.69

(12)
VASP calculation (PBE) on crystalline Mg2TcHg at its relaxed geometry.

Output
Total magnetic moment (μB per formula unit): 0.4
Crystal system: tetragonal
Raw total energy (eV for the cell shown): -13.0
Space group: No. 119

Cell: 5.306 5.306 5.306 Å, 135.81 135.81 64.28°
Last column: magnetic moment on the atom in μB.
Fractional coordinates of all 4 atoms:
Mg: 0.250 0.750 0.500  0.00
Mg: 0.000 0.000 0.000  0.00
Tc: 0.500 0.500 0.000  0.33
Hg: 0.750 0.250 0.500  0.01